# 1
The following is a GGA-PBEsol calculation of a relaxed structure of BeCd2Pt, from Alexandria.

Properties
crystal system	tetragonal
formation energy	-47.6	meV/atom

```
BeCd2Pt
1.0
3.860 0.000 0.000
0.000 3.860 0.000
-1.930 -1.930 4.185
Be Pt Cd
1 1 2
Cartesian
0.000 0.000 0.000
1.930 1.930 0.000
1.930 0.000 2.093
0.000 1.930 2.093
```

# 2
The following is a GGA-PBEsol calculation of a relaxed structure of Zn3In2O6, from Alexandria.

Properties
crystal system	trigonal
energy above the lowest structure with this stoichiometry	0.44	eV/f.u.

```
Zn3In2O6
1.0
3.411 0.000 0.000
1.705 2.954 0.000
1.705 0.985 13.925
Zn In O
3 2 6
Cartesian
5.116 2.954 10.965
1.705 0.985 3.001
5.116 2.954 5.487
5.116 2.954 0.024
1.705 0.985 8.213
1.705 0.985 10.381
5.116 2.954 3.509
5.116 2.954 8.115
1.705 0.985 5.999
5.116 2.954 12.901
1.705 0.985 1.034
```

Number 1: V 15.59 A^3/atom. Number 2: V 12.75 A^3/atom.